Below is a geometry-optimized SiBO structure, with properties calculated at the PBE-GGA level.

Summary:
ΔE to the lowest computed polymorph	0.031	eV/atom
formation energy from raw total energies	-97	kJ per mole of atoms
total DFT energy (no corrections)	-6.69	eV/atom

a = 11.577 Å, b = 2.938 Å, c = 3.964 Å
α = 90.00°, β = 99.91°, γ = 90.00°
Space group Cm (No. 8)
One atom of each set of equivalent atoms:
Si: 0.000 0.000 0.000 [2 per cell]
Si: 0.234 0.500 0.054 [2 per cell]
B: 0.060 0.000 0.513 [2 per cell]
B: 0.077 0.500 0.736 [2 per cell]
O: 0.243 0.000 0.273 [2 per cell]
O: 0.355 0.500 0.889 [2 per cell]


Below is a geometry-optimized LiCdPb2 structure, with properties calculated at the PBE-GGA level.

Summary:
energy of formation from the pure elements	-114	meV per atom
total DFT energy (no corrections)	-2.68	eV/atom

a = 4.802 Å, b = 4.802 Å, c = 4.457 Å
α = 90.00°, β = 90.00°, γ = 90.00°
Space group P4/mmm (No. 123)
One atom of each set of equivalent atoms:
Li: 0.000 0.000 0.000 [1 per cell]
Cd: 0.500 0.500 0.000 [1 per cell]
Pb: 0.000 0.500 0.500 [2 per cell]


Below is a geometry-optimized YNi2Pb2 structure, with properties calculated at the PBE-GGA level.

Summary:
ΔE to the lowest computed polymorph	0.009	eV/atom
energy of formation from the pure elements	-62	meV per atom
total DFT energy (no corrections)	-5.15	eV/atom

a = 4.622 Å, b = 4.622 Å, c = 9.976 Å
α = 90.00°, β = 90.00°, γ = 90.00°
Space group I4/mmm (No. 139)
One atom of each set of equivalent atoms:
Y: 0.000 0.000 0.000 [2 per cell]
Ni: 0.000 0.000 0.384 [4 per cell]
Pb: 0.000 0.500 0.250 [4 per cell]


Below is a geometry-optimized FeCo3 structure, with properties calculated at the PBE-GGA level.

Summary:
energy of formation from the pure elements	19	meV per atom
total DFT energy (no corrections)	-7.43	eV/atom

a = 3.549 Å, b = 3.549 Å, c = 3.549 Å
α = 90.00°, β = 90.00°, γ = 90.00°
Space group Pm-3m (No. 221)
One atom of each set of equivalent atoms:
Fe: 0.000 0.000 0.000 [1 per cell]
Co: 0.000 0.500 0.500 [3 per cell]


Below is a geometry-optimized Hf3PbCl structure, with properties calculated at the PBE-GGA level.

Summary:
ΔE to the lowest computed polymorph	0.000	eV/atom
formation energy from raw total energies	23	kJ per mole of atoms
total DFT energy (no corrections)	-6.84	eV/atom

a = 4.792 Å, b = 4.792 Å, c = 4.792 Å
α = 90.00°, β = 90.00°, γ = 90.00°
Space group Pm-3m (No. 221)
One atom of each set of equivalent atoms:
Hf: 0.000 0.000 0.500 [3 per cell]
Pb: 0.500 0.500 0.500 [1 per cell]
Cl: 0.000 0.000 0.000 [1 per cell]


Below is a geometry-optimized Na7Tl3Cd structure, with properties calculated at the PBE-GGA level.

Summary:
energy of formation from the pure elements	-10	meV per atom
total DFT energy (no corrections)	-1.58	eV/atom

a = 7.0868 Å, b = 7.0868 Å, c = 8.0084 Å
α = 90.00°, β = 90.00°, γ = 120.00°
Space group P3m1 (No. 156)
One atom of each set of equivalent atoms:
Na: 0.0000 0.0000 0.0000 [1 per cell]
Na: 0.1697 0.3395 0.3728 [3 per cell]
Na: 0.5010 0.0020 0.0045 [3 per cell]
Tl: 0.3403 0.1701 0.6802 [3 per cell]
Cd: 0.6667 0.3333 0.3465 [1 per cell]


Below is a geometry-optimized AcZr2PdO8 structure, with properties calculated at the PBE-GGA level.

Summary:
formation energy from raw total energies	-220	kJ per mole of atoms
total DFT energy (no corrections)	-7.78	eV/atom

a = 5.019 Å, b = 6.795 Å, c = 5.028 Å
α = 90.00°, β = 92.23°, γ = 90.00°
Space group P2/m (No. 10)
One atom of each set of equivalent atoms:
Ac: 0.000 0.000 0.000 [1 per cell]
Zr: 0.500 0.253 0.500 [2 per cell]
Pd: 0.000 0.500 0.000 [1 per cell]
O: 0.211 0.294 0.204 [4 per cell]
O: 0.284 0.500 0.709 [2 per cell]
O: 0.324 0.000 0.664 [2 per cell]


Below is a geometry-optimized Sm4Hg2S structure, with properties calculated at the PBE-GGA level.

Summary:
ΔE to the lowest computed polymorph	0.119	eV/atom
formation energy from raw total energies	-69	kJ per mole of atoms
total DFT energy (no corrections)	-4.09	eV/atom

a = 5.312 Å, b = 5.312 Å, c = 15.049 Å
α = 90.00°, β = 90.00°, γ = 90.00°
Space group I4/mmm (No. 139)
One atom of each set of equivalent atoms:
Sm: 0.000 0.000 0.187 [4 per cell]
Sm: 0.000 0.500 0.000 [4 per cell]
Hg: 0.000 0.000 0.384 [4 per cell]
S: 0.000 0.000 0.000 [2 per cell]


Below is a geometry-optimized Be2PRh structure, with properties calculated at the PBE-GGA level.

Summary:
energy of formation from the pure elements	-311	meV per atom
total DFT energy (no corrections)	-5.36	eV/atom

a = 2.833 Å, b = 3.539 Å, c = 4.460 Å
α = 90.00°, β = 90.00°, γ = 90.00°
Space group Pmmm (No. 47)
One atom of each set of equivalent atoms:
Be: 0.000 0.000 0.237 [2 per cell]
P: 0.000 0.500 0.500 [1 per cell]
Rh: 0.500 0.500 0.000 [1 per cell]


Below is a geometry-optimized AlCo2CuH structure, with properties calculated at the PBE-GGA level.

Summary:
ΔE to the lowest computed polymorph	0.094	eV/atom
total DFT energy (no corrections)	-5.14	eV/atom

a = 3.579 Å, b = 3.579 Å, c = 3.791 Å
α = 90.00°, β = 90.00°, γ = 90.00°
Space group P4/mmm (No. 123)
One atom of each set of equivalent atoms:
Al: 0.000 0.000 0.000 [1 per cell]
Co: 0.000 0.500 0.500 [2 per cell]
Cu: 0.500 0.500 0.000 [1 per cell]
H: 0.000 0.000 0.500 [1 per cell]


Below is a geometry-optimized AlRu2Pb structure, with properties calculated at the PBE-GGA level.

Summary:
ΔE to the lowest computed polymorph	0.197	eV/atom
energy of formation from the pure elements	199	meV per atom
total DFT energy (no corrections)	-6.30	eV/atom

a = 2.986 Å, b = 3.843 Å, c = 5.912 Å
α = 90.00°, β = 90.00°, γ = 90.00°
Space group Pmm2 (No. 25)
One atom of each set of equivalent atoms:
Al: 0.000 0.000 0.000 [1 per cell]
Ru: 0.000 0.000 0.580 [1 per cell]
Ru: 0.500 0.500 0.853 [1 per cell]
Pb: 0.500 0.500 0.341 [1 per cell]


Below is a geometry-optimized PuPa2Ti structure, with properties calculated at the PBE-GGA level.

Summary:
ΔE to the lowest computed polymorph	0.053	eV/atom
energy of formation from the pure elements	116	meV per atom
total DFT energy (no corrections)	-10.19	eV/atom

a = 5.249 Å, b = 5.249 Å, c = 3.167 Å
α = 90.00°, β = 90.00°, γ = 90.00°
Space group P4/mmm (No. 123)
One atom of each set of equivalent atoms:
Pu: 0.000 0.000 0.000 [1 per cell]
Pa: 0.000 0.500 0.500 [2 per cell]
Ti: 0.500 0.500 0.000 [1 per cell]


Below is a geometry-optimized Nd5Zn4Pt structure, with properties calculated at the PBE-GGA level.

Summary:
energy of formation from the pure elements	-462	meV per atom
total DFT energy (no corrections)	-3.96	eV/atom

a = 3.688 Å, b = 3.688 Å, c = 18.225 Å
α = 90.00°, β = 90.00°, γ = 90.00°
Space group P4/mmm (No. 123)
One atom of each set of equivalent atoms:
Nd: 0.000 0.000 0.000 [1 per cell]
Nd: 0.000 0.000 0.202 [2 per cell]
Nd: 0.000 0.000 0.406 [2 per cell]
Zn: 0.500 0.500 0.102 [2 per cell]
Zn: 0.500 0.500 0.300 [2 per cell]
Pt: 0.500 0.500 0.500 [1 per cell]